# 1
# Ac6Pr2Sm | the Alexandria database | PBE | relaxed
data_Ac6Pr2Sm
_space_group_name_H-M_alt 'P 42/m n m'
_space_group_IT_number 136
_space_group_name_Hall '-P 4n 2n'
_cell_length_a 11.626
_cell_length_b 11.626
_cell_length_c 5.555
_cell_angle_alpha 90.00
_cell_angle_beta 90.00
_cell_angle_gamma 90.00
loop_
_atom_site_label
_atom_site_type_symbol
_atom_site_fract_x
_atom_site_fract_y
_atom_site_fract_z
Ac1 Ac 0.002 0.328 0.000
Ac2 Ac 0.160 0.840 0.500
Pr1 Pr 0.168 0.168 0.500
Sm1 Sm 0.000 0.000 0.000
# - ΔE to the lowest computed polymorph (kJ/mol of formula units) = 0
# - V (Å³/atom) = 41.71
# - total energy (eV/atom) = -4.298
# - energy of formation (kJ/mol of formula units) = 24


# 2
# Ac3Pr4Sm2 | the Alexandria database | PBE | relaxed
data_Ac3Pr4Sm2
_space_group_name_H-M_alt 'P -1'
_space_group_IT_number 2
_cell_length_a 6.549
_cell_length_b 6.550
_cell_length_c 10.026
_cell_angle_alpha 90.39
_cell_angle_beta 108.53
_cell_angle_gamma 119.90
loop_
_space_group_symop_operation_xyz
'x,y,z'
'-x,-y,-z'
loop_
_atom_site_label
_atom_site_type_symbol
_atom_site_fract_x
_atom_site_fract_y
_atom_site_fract_z
Ac1 Ac 0.000 0.000 0.000
Ac2 Ac 0.438 0.884 0.666
Pr1 Pr 0.114 0.224 0.666
Pr2 Pr 0.330 0.660 0.000
Sm1 Sm 0.226 0.447 0.334
# - ΔE to the lowest computed polymorph (kJ/mol of formula units) = 0
# - V (Å³/atom) = 38.48
# - total energy (eV/atom) = -4.511
# - energy of formation (kJ/mol of formula units) = 28


# 3
# Ac2Pr3Sm6 | the Alexandria database | PBE | relaxed
data_Ac2Pr3Sm6
_space_group_name_H-M_alt 'C 1 2/m 1'
_space_group_IT_number 12
_cell_length_a 6.356
_cell_length_b 11.051
_cell_length_c 12.205
_cell_angle_alpha 90.00
_cell_angle_beta 100.13
_cell_angle_gamma 90.00
loop_
_space_group_symop_operation_xyz
'x,y,z'
'-x,-y,-z'
'-x,y,-z'
'x,-y,z'
'x+1/2,y+1/2,z'
'-x+1/2,-y+1/2,-z'
'-x+1/2,y+1/2,-z'
'x+1/2,-y+1/2,z'
loop_
_atom_site_label
_atom_site_type_symbol
_atom_site_fract_x
_atom_site_fract_y
_atom_site_fract_z
Ac1 Ac 0.000 0.166 0.000
Pr1 Pr 0.000 0.000 0.500
Pr2 Pr 0.000 0.335 0.500
Sm1 Sm 0.248 0.166 0.745
Sm2 Sm 0.248 0.500 0.744
# - ΔE to the lowest computed polymorph (kJ/mol of formula units) = 0
# - V (Å³/atom) = 38.36
# - total energy (eV/atom) = -4.451
# - energy of formation (kJ/mol of formula units) = 184


# 4
# AcPr2Sm8 | the Alexandria database | PBE | relaxed
data_AcPr2Sm8
_space_group_name_H-M_alt 'C 1 2/m 1'
_space_group_IT_number 12
_cell_length_a 16.821
_cell_length_b 6.870
_cell_length_c 6.911
_cell_angle_alpha 90.00
_cell_angle_beta 99.01
_cell_angle_gamma 90.00
loop_
_space_group_symop_operation_xyz
'x,y,z'
'-x,-y,-z'
'-x,y,-z'
'x,-y,z'
'x+1/2,y+1/2,z'
'-x+1/2,-y+1/2,-z'
'-x+1/2,y+1/2,-z'
'x+1/2,-y+1/2,z'
loop_
_atom_site_label
_atom_site_type_symbol
_atom_site_fract_x
_atom_site_fract_y
_atom_site_fract_z
Ac1 Ac 0.000 0.000 0.000
Pr1 Pr 0.209 0.000 0.791
Sm1 Sm 0.089 0.500 0.912
Sm2 Sm 0.092 0.268 0.421
Sm3 Sm 0.241 0.000 0.294
# - ΔE to the lowest computed polymorph (kJ/mol of formula units) = 30
# - V (Å³/atom) = 35.85
# - total energy (eV/atom) = -4.524
# - energy of formation (kJ/mol of formula units) = 160


# 5
# AcPr12Sm7 | the Alexandria database | PBE | relaxed
data_AcPr12Sm7
_space_group_name_H-M_alt 'R -3'
_space_group_IT_number 148
_space_group_name_Hall '-R 3'
_cell_length_a 12.6674
_cell_length_b 12.6674
_cell_length_c 15.5775
_cell_angle_alpha 90.00
_cell_angle_beta 90.00
_cell_angle_gamma 120.00
loop_
_atom_site_label
_atom_site_type_symbol
_atom_site_fract_x
_atom_site_fract_y
_atom_site_fract_z
Ac1 Ac 0.0000 0.0000 0.0000
Pr1 Pr 0.0124 0.4350 0.7029
Pr2 Pr 0.0542 0.5878 0.0924
Sm1 Sm 0.0000 0.0000 0.5000
Sm2 Sm 0.0438 0.1853 0.7983
# - ΔE to the lowest computed polymorph (kJ/mol of formula units) = 0
# - V (Å³/atom) = 36.08
# - total energy (eV/atom) = -4.523
# - energy of formation (kJ/mol of formula units) = 389


# 6
# AcPr2Sm7 | the Alexandria database | PBE | relaxed
data_AcPr2Sm7
_space_group_name_H-M_alt 'C m m m'
_space_group_IT_number 65
_space_group_name_Hall '-C 2 2'
_cell_length_a 12.029
_cell_length_b 17.267
_cell_length_c 3.609
_cell_angle_alpha 90.00
_cell_angle_beta 90.00
_cell_angle_gamma 90.00
loop_
_atom_site_label
_atom_site_type_symbol
_atom_site_fract_x
_atom_site_fract_y
_atom_site_fract_z
Ac1 Ac 0.000 0.000 0.000
Pr1 Pr 0.000 0.179 0.500
Sm1 Sm 0.000 0.329 0.000
Sm2 Sm 0.000 0.500 0.500
Sm3 Sm 0.242 0.368 0.500
# - ΔE to the lowest computed polymorph (kJ/mol of formula units) = 0
# - V (Å³/atom) = 37.48
# - total energy (eV/atom) = -4.281
# - energy of formation (kJ/mol of formula units) = 375